1.
! MgIrPb2 | the Alexandria database | GGA-PBE | optimized geometry; values from VASP
&SYSTEM
  ibrav = 0, nat = 4, ntyp = 3
/
ATOMIC_SPECIES
Mg 24.30 Mg.upf
Ir 192.22 Ir.upf
Pb 207.20 Pb.upf
CELL_PARAMETERS angstrom
4.6772 -1.7501 0.0000
4.6772 1.7501 0.0000
-1.2239 0.0000 5.4783
ATOMIC_POSITIONS crystal
Mg 0.0000 0.0000 0.0000
Ir 0.5000 0.5000 0.5000
Pb 0.2349 0.2349 0.7300
Pb 0.7651 0.7651 0.2700
! Volume in Å³ per cell: 89.7
! Crystal system: monoclinic
! Final energy in eV per atom: -4.25
! ΔE_f in kJ/mol of formula units: 84
! M_tot in μB/atom: 0.00

---

2.
! Sm2CuP4Ir3 | the Alexandria database | GGA-PBE | optimized geometry; values from VASP
&SYSTEM
  ibrav = 0, nat = 10, ntyp = 4
/
ATOMIC_SPECIES
Sm 150.36 Sm.upf
Cu 63.55 Cu.upf
P 30.97 P.upf
Ir 192.22 Ir.upf
CELL_PARAMETERS angstrom
4.1956 0.0000 0.0000
0.0000 4.1956 0.0000
0.0000 0.0000 9.4717
ATOMIC_POSITIONS crystal
Sm 0.0000 0.5000 0.2446
Sm 0.5000 0.0000 0.7554
Cu 0.0000 0.0000 0.5000
P 0.0000 0.0000 0.0000
P 0.0000 0.5000 0.6359
P 0.5000 0.0000 0.3641
P 0.5000 0.5000 0.0000
Ir 0.0000 0.5000 0.8874
Ir 0.5000 0.0000 0.1126
Ir 0.5000 0.5000 0.5000
! Volume in Å³ per cell: 166.7
! Crystal system: tetragonal
! Final energy in eV per atom: -7.09
! ΔE_f in kJ/mol of formula units: -880
! M_tot in μB/atom: 0.00

---

3.
! CuAgRh | the Alexandria database | GGA-PBE | optimized geometry; values from VASP
&SYSTEM
  ibrav = 0, nat = 3, ntyp = 3
/
ATOMIC_SPECIES
Cu 63.55 Cu.upf
Ag 107.87 Ag.upf
Rh 102.91 Rh.upf
CELL_PARAMETERS angstrom
2.7567 0.0000 0.0000
-1.3784 2.3874 0.0000
0.0000 0.0000 6.7426
ATOMIC_POSITIONS crystal
Cu 0.0000 0.0000 0.0000
Ag 0.3333 0.6667 0.6667
Rh 0.6667 0.3333 0.3090
! E above lowest polymorph in meV/atom: 73.9
! Volume in Å³ per cell: 44.4
! Crystal system: trigonal
! Final energy in eV per atom: -4.62
! ΔE_f in kJ/mol of formula units: 42
! M_tot in μB/atom: 0.14

---

4.
! TlZnGa | the Alexandria database | GGA-PBE | optimized geometry; values from VASP
&SYSTEM
  ibrav = 0, nat = 6, ntyp = 3
/
ATOMIC_SPECIES
Tl 204.38 Tl.upf
Zn 65.41 Zn.upf
Ga 69.72 Ga.upf
CELL_PARAMETERS angstrom
3.4713 0.0000 0.0000
1.5211 4.2249 0.0000
1.0815 1.8847 9.3743
ATOMIC_POSITIONS crystal
Tl 0.0000 0.0000 0.0000
Tl 0.3834 0.5511 0.7447
Zn 0.0238 0.5193 0.4584
Zn 0.7124 0.0579 0.5572
Ga 0.3228 0.9959 0.3286
Ga 0.6390 0.4800 0.2047
! Volume in Å³ per cell: 137.5
! Crystal system: triclinic
! Final energy in eV per atom: -2.14
! ΔE_f in kJ/mol of formula units: 24
! M_tot in μB/atom: 0.00

---

5.
! InAs5 | the Alexandria database | GGA-PBE | optimized geometry; values from VASP
&SYSTEM
  ibrav = 0, nat = 6, ntyp = 2
/
ATOMIC_SPECIES
In 114.82 In.upf
As 74.92 As.upf
CELL_PARAMETERS angstrom
6.0458 0.0000 0.0000
-3.0229 5.2358 0.0000
0.0000 0.0000 4.3653
ATOMIC_POSITIONS crystal
In 0.0000 0.0000 0.0000
As 0.0000 0.5000 0.5000
As 0.3333 0.6667 0.0000
As 0.5000 0.0000 0.5000
As 0.5000 0.5000 0.5000
As 0.6667 0.3333 0.0000
! E above lowest polymorph in meV/atom: 234.8
! Volume in Å³ per cell: 138.2
! Crystal system: hexagonal
! Final energy in eV per atom: -3.96
! ΔE_f in kJ/mol of formula units: 215
! M_tot in μB/atom: 0.00

---

6.
! MnGaGeSe2 | the Alexandria database | GGA-PBE | optimized geometry; values from VASP
&SYSTEM
  ibrav = 0, nat = 5, ntyp = 4
/
ATOMIC_SPECIES
Mn 54.94 Mn.upf
Ga 69.72 Ga.upf
Ge 72.64 Ge.upf
Se 78.96 Se.upf
CELL_PARAMETERS angstrom
4.1182 -1.8392 0.0000
4.1182 1.8392 0.0000
-1.0456 0.0000 7.2120
ATOMIC_POSITIONS crystal
Mn 0.0000 0.0000 0.0000
Ga 0.6800 0.6800 0.5078
Ge 0.7039 0.7039 0.0271
Se 0.4513 0.4513 0.7645
Se 0.9920 0.9920 0.3277
! E above lowest polymorph in meV/atom: 143.4
! Volume in Å³ per cell: 109.2
! Crystal system: monoclinic
! Final energy in eV per atom: -4.88
! Raw formation energy in meV per atom: -123
! M_tot in μB/atom: 0.48

---

7.
! CrTc2W | the Alexandria database | GGA-PBE | optimized geometry; values from VASP
&SYSTEM
  ibrav = 0, nat = 4, ntyp = 3
/
ATOMIC_SPECIES
Cr 52.00 Cr.upf
Tc 98.00 Tc.upf
W 183.84 W.upf
CELL_PARAMETERS angstrom
3.0422 0.0000 0.0000
0.0000 3.0422 0.0000
0.0000 0.0000 6.2096
ATOMIC_POSITIONS crystal
Cr 0.0000 0.0000 0.0000
Tc 0.0000 0.0000 0.5072
Tc 0.5000 0.5000 0.2235
W 0.5000 0.5000 0.7559
! Volume in Å³ per cell: 57.5
! Crystal system: tetragonal
! Final energy in eV per atom: -10.75
! ΔE_f in kJ/mol of formula units: 31
! M_tot in μB/atom: 0.00

---

8.
! Cu4Se3I | the Alexandria database | GGA-PBE | optimized geometry; values from VASP
&SYSTEM
  ibrav = 0, nat = 8, ntyp = 3
/
ATOMIC_SPECIES
Cu 63.55 Cu.upf
Se 78.96 Se.upf
I 126.90 I.upf
CELL_PARAMETERS angstrom
6.1634 0.0000 0.0000
0.0000 6.1634 0.0000
0.0000 0.0000 6.1634
ATOMIC_POSITIONS crystal
Cu 0.2321 0.2321 0.2321
Cu 0.2321 0.7679 0.7679
Cu 0.7679 0.2321 0.7679
Cu 0.7679 0.7679 0.2321
Se 0.0000 0.0000 0.5000
Se 0.0000 0.5000 0.0000
Se 0.5000 0.0000 0.0000
I 0.0000 0.0000 0.0000
! E above lowest polymorph in meV/atom: 607.5
! Volume in Å³ per cell: 234.1
! Crystal system: cubic
! Final energy in eV per atom: -3.06
! Raw formation energy in meV per atom: 484
! M_tot in μB/atom: 0.00

---

Copy entry 5 word for word.
! InAs5 | the Alexandria database | GGA-PBE | optimized geometry; values from VASP
&SYSTEM
  ibrav = 0, nat = 6, ntyp = 2
/
ATOMIC_SPECIES
In 114.82 In.upf
As 74.92 As.upf
CELL_PARAMETERS angstrom
6.0458 0.0000 0.0000
-3.0229 5.2358 0.0000
0.0000 0.0000 4.3653
ATOMIC_POSITIONS crystal
In 0.0000 0.0000 0.0000
As 0.0000 0.5000 0.5000
As 0.3333 0.6667 0.0000
As 0.5000 0.0000 0.5000
As 0.5000 0.5000 0.5000
As 0.6667 0.3333 0.0000
! E above lowest polymorph in meV/atom: 234.8
! Volume in Å³ per cell: 138.2
! Crystal system: hexagonal
! Final energy in eV per atom: -3.96
! ΔE_f in kJ/mol of formula units: 215
! M_tot in μB/atom: 0.00

---

Copy entry 3 word for word.
! CuAgRh | the Alexandria database | GGA-PBE | optimized geometry; values from VASP
&SYSTEM
  ibrav = 0, nat = 3, ntyp = 3
/
ATOMIC_SPECIES
Cu 63.55 Cu.upf
Ag 107.87 Ag.upf
Rh 102.91 Rh.upf
CELL_PARAMETERS angstrom
2.7567 0.0000 0.0000
-1.3784 2.3874 0.0000
0.0000 0.0000 6.7426
ATOMIC_POSITIONS crystal
Cu 0.0000 0.0000 0.0000
Ag 0.3333 0.6667 0.6667
Rh 0.6667 0.3333 0.3090
! E above lowest polymorph in meV/atom: 73.9
! Volume in Å³ per cell: 44.4
! Crystal system: trigonal
! Final energy in eV per atom: -4.62
! ΔE_f in kJ/mol of formula units: 42
! M_tot in μB/atom: 0.14